# 1
Here is an optimized crystal structure of GeSeI2O from Alexandria. Energies are from PBEsol.

abc: 5.6619 5.6619 3.6562
angles: 90.00 90.00 90.00
With the nearest neighbours (Å) after each atom.
Fractional coordinates of all 5 atoms:
Ge (0.0000, 0.0000, 0.0000)  2 O 1.83
Se (0.5000, 0.5000, 0.5000)  8 I 3.37, 2 Se 3.66
I (0.0000, 0.5000, 0.0000)  2 Ge 2.83
I (0.5000, 0.0000, 0.0000)  2 Ge 2.83
O (0.0000, 0.0000, 0.5000)  2 Ge 1.83

E, eV/atom: -3.498
Energy relative to the elements, uncorrected, eV per atom: 0.02
Fermi-level density of states, states/eV per cell: 4.12

# 2
Here is an optimized crystal structure of SrGeIO2 from Alexandria. Energies are from PBEsol.

abc: 4.5127 4.5127 6.2666
angles: 90.00 90.00 90.00
With the nearest neighbours (Å) after each atom.
Fractional coordinates of all 5 atoms:
Sr (0.0000, 0.0000, 0.0000)  4 O 2.26
Ge (0.5000, 0.5000, 0.5000)  4 I 3.19
I (0.0000, 0.0000, 0.5000)  2 Sr 3.13, 4 Ge 3.19
O (0.0000, 0.5000, 0.0000)  2 Sr 2.26
O (0.5000, 0.0000, 0.0000)  2 Sr 2.26

E, eV/atom: -4.064
Energy relative to the elements, uncorrected, eV per atom: -0.25
Fermi-level density of states, states/eV per cell: 2.73

# 3
Here is an optimized crystal structure of GeOsI3 from Alexandria. Energies are from PBEsol.

abc: 5.2672 5.2672 5.2672
angles: 90.00 90.00 90.00
With the nearest neighbours (Å) after each atom.
Fractional coordinates of all 5 atoms:
Ge (0.0000, 0.0000, 0.0000)  12 I 3.72
Os (0.5000, 0.5000, 0.5000)  6 I 2.63
I (0.0000, 0.5000, 0.5000)  2 Os 2.63
I (0.5000, 0.0000, 0.5000)  2 Os 2.63
I (0.5000, 0.5000, 0.0000)  2 Os 2.63

E, eV/atom: -3.660
Energy relative to the elements, uncorrected, eV per atom: 0.83
Fermi-level density of states, states/eV per cell: 5.96

# 4
Here is an optimized crystal structure of GeOs2I from Alexandria. Energies are from PBEsol.

abc: 4.5109 4.5109 4.5109
angles: 60.00 60.00 60.00
With the nearest neighbours (Å) after each atom.
Fractional coordinates of all 4 atoms:
Ge (0.0000, 0.0000, 0.0000)  8 Os 2.76
Os (0.2500, 0.2500, 0.2500)  4 Ge 2.76, 4 I 2.76
Os (0.7500, 0.7500, 0.7500)  4 I 2.76, 4 Ge 2.76
I (0.5000, 0.5000, 0.5000)  8 Os 2.76

E, eV/atom: -6.690
Energy relative to the elements, uncorrected, eV per atom: 1.09
Fermi-level density of states, states/eV per cell: 3.66

# 5
Here is an optimized crystal structure of ReGePI2 from Alexandria. Energies are from PBEsol.

abc: 5.6100 5.6100 4.9858
angles: 90.00 90.00 90.00
With the nearest neighbours (Å) after each atom.
Fractional coordinates of all 5 atoms:
Re (0.0000, 0.0000, 0.0000)  2 Ge 2.49
Ge (0.0000, 0.0000, 0.5000)  2 Re 2.49
P (0.5000, 0.5000, 0.0000)  8 I 3.75, 4 Re 3.97
I (0.0000, 0.5000, 0.5000)  2 Ge 2.80
I (0.5000, 0.0000, 0.5000)  2 Ge 2.80

E, eV/atom: -3.783
Energy relative to the elements, uncorrected, eV per atom: 1.74
Fermi-level density of states, states/eV per cell: 2.55

# 6
Here is an optimized crystal structure of GePS2I from Alexandria. Energies are from PBEsol.

abc: 5.0210 5.0210 5.0003
angles: 90.00 90.00 90.00
With the nearest neighbours (Å) after each atom.
Fractional coordinates of all 5 atoms:
Ge (0.0000, 0.0000, 0.0000)  8 S 3.54, 4 P 3.55
P (0.5000, 0.5000, 0.0000)  2 I 2.50
S (0.0000, 0.5000, 0.5000)  2 I 2.51
S (0.5000, 0.0000, 0.5000)  2 I 2.51
I (0.5000, 0.5000, 0.5000)  2 P 2.50, 4 S 2.51

E, eV/atom: -3.117
Energy relative to the elements, uncorrected, eV per atom: 1.14
Fermi-level density of states, states/eV per cell: 2.93

# 7
Here is an optimized crystal structure of RbGePb2I from Alexandria. Energies are from PBEsol.

abc: 6.4092 6.4092 5.3591
angles: 90.00 90.00 90.00
With the nearest neighbours (Å) after each atom.
Fractional coordinates of all 5 atoms:
Rb (0.0000, 0.0000, 0.0000)  2 Ge 2.68
Ge (0.0000, 0.0000, 0.5000)  2 Rb 2.68
Pb (0.0000, 0.5000, 0.0000)  2 Rb 3.20
Pb (0.5000, 0.0000, 0.0000)  2 Rb 3.20
I (0.5000, 0.5000, 0.5000)  8 Pb 4.18, 4 Ge 4.53

E, eV/atom: -1.916
Energy relative to the elements, uncorrected, eV per atom: 1.23
Fermi-level density of states, states/eV per cell: 6.23

# 8
Here is an optimized crystal structure of Ge2PdWI from Alexandria. Energies are from PBEsol.

abc: 4.6903 4.6903 5.3848
angles: 90.00 90.00 90.00
With the nearest neighbours (Å) after each atom.
Fractional coordinates of all 5 atoms:
Ge (0.0000, 0.5000, 0.0000)  2 Pd 2.35
Ge (0.5000, 0.0000, 0.0000)  2 Pd 2.35
Pd (0.0000, 0.0000, 0.0000)  4 Ge 2.35
W (0.5000, 0.5000, 0.5000)  4 I 3.32, 8 Ge 3.57
I (0.0000, 0.0000, 0.5000)  2 Pd 2.69

E, eV/atom: -4.891
Energy relative to the elements, uncorrected, eV per atom: 1.39
Fermi-level density of states, states/eV per cell: 3.53

# 9
Here is an optimized crystal structure of GeTePtI2 from Alexandria. Energies are from PBEsol.

abc: 5.3361 5.3361 5.4009
angles: 90.00 90.00 90.00
With the nearest neighbours (Å) after each atom.
Fractional coordinates of all 5 atoms:
Ge (0.0000, 0.0000, 0.0000)  4 I 2.67, 2 Te 2.70
Te (0.0000, 0.0000, 0.5000)  2 Ge 2.70
Pt (0.5000, 0.5000, 0.5000)  4 Te 3.77, 8 I 3.80
I (0.0000, 0.5000, 0.0000)  2 Ge 2.67
I (0.5000, 0.0000, 0.0000)  2 Ge 2.67

E, eV/atom: -2.783
Energy relative to the elements, uncorrected, eV per atom: 1.01
Fermi-level density of states, states/eV per cell: 8.77

# 10
Here is an optimized crystal structure of RbGeI3 from Alexandria. Energies are from PBEsol.

abc: 5.8107 5.8107 5.8107
angles: 90.00 90.00 90.00
With the nearest neighbours (Å) after each atom.
Fractional coordinates of all 5 atoms:
Rb (0.0000, 0.0000, 0.0000)  12 I 4.11
Ge (0.5000, 0.5000, 0.5000)  6 I 2.91
I (0.0000, 0.5000, 0.5000)  2 Ge 2.91
I (0.5000, 0.0000, 0.5000)  2 Ge 2.91
I (0.5000, 0.5000, 0.0000)  2 Ge 2.91

E, eV/atom: -3.020
Energy relative to the elements, uncorrected, eV per atom: -0.77
Fermi-level density of states, states/eV per cell: 0.00

# 11
Here is an optimized crystal structure of RbGe2I from Alexandria. Energies are from PBEsol.

abc: 5.4181 5.4181 5.4181
angles: 60.00 60.00 60.00
With the nearest neighbours (Å) after each atom.
Fractional coordinates of all 4 atoms:
Rb (0.0000, 0.0000, 0.0000)  8 Ge 3.32
Ge (0.2500, 0.2500, 0.2500)  4 I 3.32, 4 Rb 3.32
Ge (0.7500, 0.7500, 0.7500)  4 I 3.32, 4 Rb 3.32
I (0.5000, 0.5000, 0.5000)  8 Ge 3.32

E, eV/atom: -2.637
Energy relative to the elements, uncorrected, eV per atom: 0.53
Fermi-level density of states, states/eV per cell: 4.09

# 12
Here is an optimized crystal structure of Re3GeI from Alexandria. Energies are from PBEsol.

abc: 4.5849 4.5849 4.5849
angles: 90.00 90.00 90.00
With the nearest neighbours (Å) after each atom.
Fractional coordinates of all 5 atoms:
Re (0.0000, 0.0000, 0.5000)  2 Ge 2.29
Re (0.0000, 0.5000, 0.0000)  2 Ge 2.29
Re (0.5000, 0.0000, 0.0000)  2 Ge 2.29
Ge (0.0000, 0.0000, 0.0000)  6 Re 2.29
I (0.5000, 0.5000, 0.5000)  12 Re 3.24

E, eV/atom: -7.186
Energy relative to the elements, uncorrected, eV per atom: 2.15
Fermi-level density of states, states/eV per cell: 6.64

# 13
Here is an optimized crystal structure of ReGe2I from Alexandria. Energies are from PBEsol.

abc: 4.6963 4.6963 4.6963
angles: 60.00 60.00 60.00
With the nearest neighbours (Å) after each atom.
Fractional coordinates of all 4 atoms:
Re (0.0000, 0.0000, 0.0000)  8 Ge 2.88
Ge (0.2500, 0.2500, 0.2500)  4 I 2.88, 4 Re 2.88
Ge (0.7500, 0.7500, 0.7500)  4 I 2.88, 4 Re 2.88
I (0.5000, 0.5000, 0.5000)  8 Ge 2.88

E, eV/atom: -5.073
Energy relative to the elements, uncorrected, eV per atom: 1.17
Fermi-level density of states, states/eV per cell: 2.58

# 14
Here is an optimized crystal structure of GeRh3I from Alexandria. Energies are from PBEsol.

abc: 4.7603 4.7603 4.7603
angles: 90.00 90.00 90.00
With the nearest neighbours (Å) after each atom.
Fractional coordinates of all 5 atoms:
Ge (0.0000, 0.0000, 0.0000)  12 Rh 3.37
Rh (0.0000, 0.5000, 0.5000)  2 I 2.38
Rh (0.5000, 0.0000, 0.5000)  2 I 2.38
Rh (0.5000, 0.5000, 0.0000)  2 I 2.38
I (0.5000, 0.5000, 0.5000)  6 Rh 2.38

Polymorph energy (0 for the lowest one), meV per atom: 542
E, eV/atom: -4.987
Energy relative to the elements, uncorrected, eV per atom: 1.24
Fermi-level density of states, states/eV per cell: 7.90